Record 1
Entry from Alexandria: a relaxed TaCo2Te crystal (GGA-PBE).

Calculated total energy: -7.0441 eV/atom
Crystal system: trigonal

Structure (CIF):
```
data_TaCo2Te
_chemical_formula_sum 'Ta3 Co6 Te3'
_space_group_name_H-M_alt 'R -3 m'
_space_group_IT_number 166
_space_group_name_Hall '-R 3 2"'
_cell_length_a 3.2172
_cell_length_b 3.2172
_cell_length_c 22.0226
_cell_angle_alpha 90.00
_cell_angle_beta 90.00
_cell_angle_gamma 120.00
loop_
_atom_site_label
_atom_site_type_symbol
_atom_site_fract_x
_atom_site_fract_y
_atom_site_fract_z
Ta1 Ta 0.0000 0.0000 0.0000
Co1 Co 0.0000 0.0000 0.2569
Te1 Te 0.0000 0.0000 0.5000
```

Record 2
Entry from Alexandria: a relaxed TaCo2Te2 crystal (GGA-PBE).

Calculated total energy: -6.7925 eV/atom
Crystal system: orthorhombic

Structure (CIF):
```
data_TaCo2Te2
_chemical_formula_sum 'Ta8 Co16 Te16'
_space_group_name_H-M_alt 'P n m a'
_space_group_IT_number 62
_cell_length_a 18.984
_cell_length_b 6.567
_cell_length_c 6.529
_cell_angle_alpha 90.00
_cell_angle_beta 90.00
_cell_angle_gamma 90.00
loop_
_space_group_symop_operation_xyz
'x,y,z'
'-x,-y,-z'
'-x+1/2,-y,z+1/2'
'x+1/2,y,-z+1/2'
'x+1/2,-y+1/2,-z+1/2'
'-x+1/2,y+1/2,z+1/2'
'-x,y+1/2,-z'
'x,-y+1/2,z'
loop_
_atom_site_label
_atom_site_type_symbol
_atom_site_fract_x
_atom_site_fract_y
_atom_site_fract_z
Ta1 Ta 0.225 0.250 0.150
Ta2 Ta 0.236 0.750 0.150
Co1 Co 0.185 0.536 0.454
Co2 Co 0.185 0.537 0.846
Te1 Te 0.096 0.750 0.649
Te2 Te 0.101 0.000 0.150
Te3 Te 0.115 0.250 0.651
```

Record 3
Entry from Alexandria: a relaxed TaCoTe3 crystal (GGA-PBE).

Calculated total energy: -4.8159 eV/atom
Crystal system: cubic

Structure (CIF):
```
data_TaCoTe3
_chemical_formula_sum 'Ta1 Co1 Te3'
_space_group_name_H-M_alt 'P m -3 m'
_space_group_IT_number 221
_space_group_name_Hall '-P 4 2 3'
_cell_length_a 4.902
_cell_length_b 4.902
_cell_length_c 4.902
_cell_angle_alpha 90.00
_cell_angle_beta 90.00
_cell_angle_gamma 90.00
loop_
_atom_site_label
_atom_site_type_symbol
_atom_site_fract_x
_atom_site_fract_y
_atom_site_fract_z
Ta1 Ta 0.000 0.000 0.000
Co1 Co 0.500 0.500 0.500
Te1 Te 0.000 0.500 0.500
```

Record 4
Entry from Alexandria: a relaxed TaCo2Te crystal (GGA-PBE).

Calculated total energy: -7.1012 eV/atom
Crystal system: tetragonal

Structure (CIF):
```
data_TaCo2Te
_chemical_formula_sum 'Ta2 Co4 Te2'
_space_group_name_H-M_alt 'I -4 m 2'
_space_group_IT_number 119
_space_group_name_Hall 'I -4 -2'
_cell_length_a 3.754
_cell_length_b 3.754
_cell_length_c 8.487
_cell_angle_alpha 90.00
_cell_angle_beta 90.00
_cell_angle_gamma 90.00
loop_
_atom_site_label
_atom_site_type_symbol
_atom_site_fract_x
_atom_site_fract_y
_atom_site_fract_z
Ta1 Ta 0.000 0.000 0.000
Co1 Co 0.000 0.000 0.500
Co2 Co 0.000 0.500 0.250
Te1 Te 0.000 0.500 0.750
```

Record 5
Entry from Alexandria: a relaxed Ta4CoTe crystal (GGA-PBE).

Calculated total energy: -8.9161 eV/atom
Crystal system: cubic

Structure (CIF):
```
data_Ta4CoTe
_chemical_formula_sum 'Ta16 Co4 Te4'
_space_group_name_H-M_alt 'F -4 3 m'
_space_group_IT_number 216
_space_group_name_Hall 'F -4 2 3'
_cell_length_a 7.739
_cell_length_b 7.739
_cell_length_c 7.739
_cell_angle_alpha 90.00
_cell_angle_beta 90.00
_cell_angle_gamma 90.00
loop_
_atom_site_label
_atom_site_type_symbol
_atom_site_fract_x
_atom_site_fract_y
_atom_site_fract_z
Ta1 Ta 0.124 0.124 0.376
Co1 Co 0.250 0.250 0.750
Te1 Te 0.000 0.000 0.000
```

Record 6
Entry from Alexandria: a relaxed TaTlCoTe2 crystal (GGA-PBE).

Calculated total energy: -4.8562 eV/atom
Crystal system: tetragonal

Structure (CIF):
```
data_TaTlCoTe2
_chemical_formula_sum 'Ta1 Tl1 Co1 Te2'
_space_group_name_H-M_alt 'P 4/m m m'
_space_group_IT_number 123
_space_group_name_Hall '-P 4 2'
_cell_length_a 5.078
_cell_length_b 5.078
_cell_length_c 4.737
_cell_angle_alpha 90.00
_cell_angle_beta 90.00
_cell_angle_gamma 90.00
loop_
_atom_site_label
_atom_site_type_symbol
_atom_site_fract_x
_atom_site_fract_y
_atom_site_fract_z
Ta1 Ta 0.000 0.000 0.000
Tl1 Tl 0.500 0.500 0.000
Co1 Co 0.000 0.000 0.500
Te1 Te 0.000 0.500 0.500
```

Record 7
Entry from Alexandria: a relaxed Ta2Tl2CoTe6 crystal (GGA-PBE).

Calculated total energy: -5.1102 eV/atom
Crystal system: monoclinic

Structure (CIF):
```
data_Ta2Tl2CoTe6
_chemical_formula_sum 'Ta4 Tl4 Co2 Te12'
_space_group_name_H-M_alt 'C 1 2/m 1'
_space_group_IT_number 12
_cell_length_a 6.630
_cell_length_b 11.603
_cell_length_c 8.842
_cell_angle_alpha 90.00
_cell_angle_beta 101.30
_cell_angle_gamma 90.00
loop_
_space_group_symop_operation_xyz
'x,y,z'
'-x,-y,-z'
'-x,y,-z'
'x,-y,z'
'x+1/2,y+1/2,z'
'-x+1/2,-y+1/2,-z'
'-x+1/2,y+1/2,-z'
'x+1/2,-y+1/2,z'
loop_
_atom_site_label
_atom_site_type_symbol
_atom_site_fract_x
_atom_site_fract_y
_atom_site_fract_z
Ta1 Ta 0.000 0.128 0.000
Tl1 Tl 0.000 0.290 0.500
Co1 Co 0.000 0.500 0.000
Te1 Te 0.195 0.330 0.170
Te2 Te 0.242 0.500 0.780
```

Record 8
Entry from Alexandria: a relaxed Th2TaCo crystal (GGA-PBE).

Formation energy: 0.670 eV/atom
Crystal system: trigonal

Structure (CIF):
```
data_Th2TaCo
_chemical_formula_sum 'Th6 Ta3 Co3'
_space_group_name_H-M_alt 'R -3 m'
_space_group_IT_number 166
_space_group_name_Hall '-R 3 2"'
_cell_length_a 3.4504
_cell_length_b 3.4504
_cell_length_c 28.6334
_cell_angle_alpha 90.00
_cell_angle_beta 90.00
_cell_angle_gamma 120.00
loop_
_atom_site_label
_atom_site_type_symbol
_atom_site_fract_x
_atom_site_fract_y
_atom_site_fract_z
Th1 Th 0.0000 0.0000 0.1020
Ta1 Ta 0.0000 0.0000 0.0000
Co1 Co 0.0000 0.0000 0.5000
```